Entry 1:
A plane-wave DFT calculation with PBE-GGA was carried out for crystalline Sr2Li4Bi3Sb at its relaxed geometry.

Lattice parameters (Å, degrees): 4.6779 4.6779 12.2904 90.00 90.00 90.00
With the nearest neighbours (Å) after each atom.
Sites, in units of the cell vectors:
Sr 0.0000 0.5000 0.2459  6 Bi 3.55-3.90, 8 Li 3.60-3.82, 2 Sb 3.90
Sr 0.5000 0.0000 0.7541  6 Bi 3.55-3.90, 8 Li 3.60-3.82, 2 Sb 3.90
Li 0.0000 0.0000 0.0000  4 Bi 2.90
Li 0.0000 0.5000 0.6386  3 Bi 2.72-2.89, 2 Sb 2.89
Li 0.5000 0.0000 0.3614  3 Bi 2.72-2.89, 2 Sb 2.89
Li 0.5000 0.5000 0.0000  4 Bi 2.90
Bi 0.0000 0.5000 0.8600  5 Li 2.72-2.90
Bi 0.5000 0.0000 0.1400  5 Li 2.72-2.90
Bi 0.5000 0.5000 0.5000  4 Li 2.89
Sb 0.0000 0.0000 0.5000  4 Li 2.89

**Electronic total energy**: -3.33 eV/atom
**Total magnetic moment**: 0.00 μB/f.u.
**Raw formation energy**: -0.652 eV per atom

---

Entry 2:
A plane-wave DFT calculation with PBE-GGA was carried out for crystalline CeNd2In2Ag2 at its relaxed geometry.

Lattice parameters (Å, degrees): 9.4363 9.4363 9.4363 30.37 30.37 30.37
With the nearest neighbours (Å) after each atom.
Sites, in units of the cell vectors:
Ce 0.0000 0.0000 0.0000  6 Ag 3.33, 2 Nd 3.39, 6 In 3.42
Nd 0.1255 0.1255 0.1255  3 In 3.23, 3 Ag 3.31, 1 Ce 3.39
Nd 0.8745 0.8745 0.8745  3 In 3.23, 3 Ag 3.31, 1 Ce 3.39
In 0.2637 0.2637 0.2637  3 Ag 2.86
In 0.7363 0.7363 0.7363  3 Ag 2.86
Ag 0.3966 0.3966 0.3966  3 In 2.86
Ag 0.6034 0.6034 0.6034  3 In 2.86

**Electronic total energy**: -4.07 eV/atom
**Total magnetic moment**: 1.05 μB/f.u.
**Energy relative to the elements**: -1.85 eV per formula unit

---

Entry 3:
A plane-wave DFT calculation with PBE-GGA was carried out for crystalline Cu2NiSnS4 at its relaxed geometry.

Lattice parameters (Å, degrees): 6.6001 6.6001 6.6001 132.15 132.15 69.99
With the nearest neighbours (Å) after each atom.
Sites, in units of the cell vectors:
Cu 0.0000 0.0000 0.0000  4 S 2.30
Cu 0.7500 0.2500 0.5000  4 S 2.30
Ni 0.5000 0.5000 0.0000  4 S 2.23
Sn 0.2500 0.7500 0.5000  4 S 2.49
S 0.1257 0.6136 0.9687  1 Ni 2.23, 2 Cu 2.30, 1 Sn 2.49
S 0.3864 0.3551 0.5122  1 Ni 2.23, 2 Cu 2.30, 1 Sn 2.49
S 0.6449 0.1570 0.0313  1 Ni 2.23, 2 Cu 2.30, 1 Sn 2.49
S 0.8430 0.8743 0.4878  1 Ni 2.23, 2 Cu 2.30, 1 Sn 2.49

**Electronic total energy**: -4.63 eV/atom
**Total magnetic moment**: 1.14 μB/f.u.
**Raw formation energy**: -0.316 eV per atom

---

Entry 4:
A plane-wave DFT calculation with PBE-GGA was carried out for crystalline KLiF3 at its relaxed geometry.

Lattice parameters (Å, degrees): 4.8023 4.8023 4.8023 90.00 90.00 90.00
With the nearest neighbours (Å) after each atom.
Sites, in units of the cell vectors:
K 0.0000 0.0000 0.0000  6 F 2.40
Li 0.5000 0.5000 0.5000  12 F 3.40
F 0.0000 0.0000 0.5000  2 K 2.40
F 0.0000 0.5000 0.0000  2 K 2.40
F 0.5000 0.0000 0.0000  2 K 2.40

**Electronic total energy**: -3.37 eV/atom
**Total magnetic moment**: 1.00 μB/f.u.
**Raw formation energy**: -1.642 eV per atom

---

Entry 5:
A plane-wave DFT calculation with PBE-GGA was carried out for crystalline KTiIn at its relaxed geometry.

Lattice parameters (Å, degrees): 3.2825 4.7506 12.5431 89.94 89.01 90.00
With the nearest neighbours (Å) after each atom.
Sites, in units of the cell vectors:
K 0.0000 0.0000 0.0000  2 K 3.28, 2 In 3.61
K 0.4547 0.4980 0.6928  2 K 3.28, 1 Ti 3.40
Ti 0.4720 0.4982 0.4220  2 Ti 2.68, 4 In 2.96
Ti 0.9834 0.4988 0.2534  2 Ti 2.68, 4 In 2.89
In 0.4831 0.9988 0.2568  6 Ti 2.89-3.15, 2 In 3.19
In 0.9686 0.9980 0.4753  4 Ti 2.96, 4 In 3.19-3.28

**Electronic total energy**: -3.79 eV/atom
**Total magnetic moment**: 0.00 μB/f.u.
**Energy relative to the elements**: 0.35 eV per formula unit

---

Entry 6:
A plane-wave DFT calculation with PBE-GGA was carried out for crystalline SmNi5Sb at its relaxed geometry.

Lattice parameters (Å, degrees): 8.0630 4.9798 10.2080 90.00 90.00 90.00
With the nearest neighbours (Å) after each atom.
Sites, in units of the cell vectors:
Sm 0.2489 0.2500 0.0572  8 Ni 2.82-3.15
Sm 0.2511 0.7500 0.5572  8 Ni 2.82-3.15
Sm 0.7489 0.2500 0.4428  8 Ni 2.82-3.15
Sm 0.7511 0.7500 0.9428  8 Ni 2.82-3.15
Ni 0.0639 0.2500 0.5973  4 Ni 2.49-2.59, 1 Sb 2.53
Ni 0.0676 0.9997 0.8081  7 Ni 2.44-2.49, 2 Sb 2.67-2.71
Ni 0.0676 0.5003 0.8081  7 Ni 2.44-2.49, 2 Sb 2.67-2.71
Ni 0.0870 0.7500 0.0193  5 Ni 2.49, 1 Sb 2.72
Ni 0.1814 0.7500 0.2512  7 Ni 2.44-2.59, 2 Sb 2.73
Ni 0.3186 0.2500 0.7512  7 Ni 2.44-2.59, 2 Sb 2.73
Ni 0.4130 0.2500 0.5193  5 Ni 2.49, 1 Sb 2.72
Ni 0.4324 0.0003 0.3081  7 Ni 2.44-2.49, 2 Sb 2.67-2.71
Ni 0.4324 0.4997 0.3081  7 Ni 2.44-2.49, 2 Sb 2.67-2.71
Ni 0.4361 0.7500 0.0973  4 Ni 2.49-2.59, 1 Sb 2.53
Ni 0.5639 0.2500 0.9027  4 Ni 2.49-2.59, 1 Sb 2.53
Ni 0.5676 0.9997 0.6919  7 Ni 2.44-2.49, 2 Sb 2.67-2.71
Ni 0.5676 0.5003 0.6919  7 Ni 2.44-2.49, 2 Sb 2.67-2.71
Ni 0.5870 0.7500 0.4807  5 Ni 2.49, 1 Sb 2.72
Ni 0.6814 0.7500 0.2488  7 Ni 2.44-2.59, 2 Sb 2.73
Ni 0.8186 0.2500 0.7488  7 Ni 2.44-2.59, 2 Sb 2.73
Ni 0.9130 0.2500 0.9807  5 Ni 2.49, 1 Sb 2.72
Ni 0.9324 0.0003 0.1919  7 Ni 2.44-2.49, 2 Sb 2.67-2.71
Ni 0.9324 0.4997 0.1919  7 Ni 2.44-2.49, 2 Sb 2.67-2.71
Ni 0.9361 0.7500 0.4027  4 Ni 2.49-2.59, 1 Sb 2.53
Sb 0.1454 0.2500 0.3575  8 Ni 2.53-2.73
Sb 0.3546 0.7500 0.8575  8 Ni 2.53-2.73
Sb 0.6454 0.2500 0.1425  8 Ni 2.53-2.73
Sb 0.8546 0.7500 0.6425  8 Ni 2.53-2.73

**Electronic total energy**: -5.74 eV/atom
**Total magnetic moment**: 0.00 μB/f.u.
**Raw formation energy**: -0.347 eV per atom

---

Entry 7:
A plane-wave DFT calculation with PBE-GGA was carried out for crystalline V2NiSb at its relaxed geometry.

Lattice parameters (Å, degrees): 4.3582 4.3582 4.3582 60.00 60.00 60.00
With the nearest neighbours (Å) after each atom.
Sites, in units of the cell vectors:
V 0.0000 0.0000 0.0000  4 Sb 2.67, 4 V 2.67
V 0.2500 0.2500 0.2500  4 Ni 2.67, 4 V 2.67
Ni 0.5000 0.5000 0.5000  4 Sb 2.67, 4 V 2.67
Sb 0.7500 0.7500 0.7500  4 V 2.67, 4 Ni 2.67

**Electronic total energy**: -6.95 eV/atom
**Total magnetic moment**: 0.72 μB/f.u.
**Raw formation energy**: 0.083 eV per atom

---

Entry 8:
A plane-wave DFT calculation with PBE-GGA was carried out for crystalline PrErTcAg at its relaxed geometry.

Lattice parameters (Å, degrees): 5.0515 5.0515 5.0515 60.00 60.00 60.00
With the nearest neighbours (Å) after each atom.
Sites, in units of the cell vectors:
Pr 0.0000 0.0000 0.0000  4 Tc 3.09, 4 Ag 3.09
Er 0.5000 0.5000 0.5000  4 Tc 3.09, 4 Ag 3.09
Tc 0.7500 0.7500 0.7500  4 Er 3.09, 4 Pr 3.09
Ag 0.2500 0.2500 0.2500  4 Er 3.09, 4 Pr 3.09

**Electronic total energy**: -5.67 eV/atom
**Total magnetic moment**: 0.00 μB/f.u.
**Energy relative to the elements**: -0.11 eV per formula unit